# LiCrNiOs, relaxed, DFT PBE
data_LiCrNiOs
_chemical_formula_sum 'Li4 Cr4 Ni4 Os4'
_space_group_name_H-M_alt 'F -4 3 m'
_space_group_IT_number 216
_space_group_name_Hall 'F -4 2 3'
_cell_length_a 5.753
_cell_length_b 5.753
_cell_length_c 5.753
_cell_angle_alpha 90.00
_cell_angle_beta 90.00
_cell_angle_gamma 90.00
loop_
_atom_site_label
_atom_site_type_symbol
_atom_site_fract_x
_atom_site_fract_y
_atom_site_fract_z
Li1 Li 0.000 0.000 0.000
Cr1 Cr 0.000 0.000 0.500
Ni1 Ni 0.250 0.250 0.250
Os1 Os 0.250 0.250 0.750
# M_tot: 4.11 μB per cell
# total energy: -7.024 eV/atom

=====

# Li3Pr2CrNi12, relaxed, DFT PBE
data_Li3Pr2CrNi12
_chemical_formula_sum 'Li9 Pr6 Cr3 Ni36'
_space_group_name_H-M_alt 'R -3 m'
_space_group_IT_number 166
_space_group_name_Hall '-R 3 2"'
_cell_length_a 5.9616
_cell_length_b 5.9616
_cell_length_c 25.6240
_cell_angle_alpha 90.00
_cell_angle_beta 90.00
_cell_angle_gamma 120.00
loop_
_atom_site_label
_atom_site_type_symbol
_atom_site_fract_x
_atom_site_fract_y
_atom_site_fract_z
Li1 Li 0.0000 0.5000 0.0000
Pr1 Pr 0.0000 0.0000 0.1504
Cr1 Cr 0.0000 0.0000 0.5000
Ni1 Ni 0.0517 0.5259 0.0966
Ni2 Ni 0.0710 0.5355 0.6172
# M_tot: 7.88 μB per cell
# total energy: -5.030 eV/atom

=====

# LiCrNiRu, relaxed, DFT PBE
data_LiCrNiRu
_chemical_formula_sum 'Li4 Cr4 Ni4 Ru4'
_space_group_name_H-M_alt 'F -4 3 m'
_space_group_IT_number 216
_space_group_name_Hall 'F -4 2 3'
_cell_length_a 5.745
_cell_length_b 5.745
_cell_length_c 5.745
_cell_angle_alpha 90.00
_cell_angle_beta 90.00
_cell_angle_gamma 90.00
loop_
_atom_site_label
_atom_site_type_symbol
_atom_site_fract_x
_atom_site_fract_y
_atom_site_fract_z
Li1 Li 0.000 0.000 0.000
Cr1 Cr 0.000 0.000 0.500
Ni1 Ni 0.250 0.250 0.250
Ru1 Ru 0.250 0.250 0.750
# M_tot: 4.48 μB per cell
# total energy: -6.570 eV/atom

=====

# LiCrNiS2, relaxed, DFT PBE
data_LiCrNiS2
_chemical_formula_sum 'Li1 Cr1 Ni1 S2'
_space_group_name_H-M_alt 'P 4/m m m'
_space_group_IT_number 123
_space_group_name_Hall '-P 4 2'
_cell_length_a 4.472
_cell_length_b 4.472
_cell_length_c 4.053
_cell_angle_alpha 90.00
_cell_angle_beta 90.00
_cell_angle_gamma 90.00
loop_
_atom_site_label
_atom_site_type_symbol
_atom_site_fract_x
_atom_site_fract_y
_atom_site_fract_z
Li1 Li 0.000 0.000 0.000
Cr1 Cr 0.500 0.500 0.000
Ni1 Ni 0.000 0.000 0.500
S1 S 0.000 0.500 0.500
# M_tot: 4.02 μB per cell
# total energy: -5.014 eV/atom

=====

# LiCrNiS3, relaxed, DFT PBE
data_LiCrNiS3
_chemical_formula_sum 'Li2 Cr2 Ni2 S6'
_space_group_name_H-M_alt 'P 1 21/m 1'
_space_group_IT_number 11
_space_group_name_Hall '-P 2yb'
_cell_length_a 7.010
_cell_length_b 3.455
_cell_length_c 9.198
_cell_angle_alpha 90.00
_cell_angle_beta 111.71
_cell_angle_gamma 90.00
loop_
_atom_site_label
_atom_site_type_symbol
_atom_site_fract_x
_atom_site_fract_y
_atom_site_fract_z
Li1 Li 0.203 0.250 0.152
Cr1 Cr 0.302 0.750 0.832
Ni1 Ni 0.079 0.250 0.606
S1 S 0.069 0.250 0.843
S2 S 0.254 0.750 0.570
S3 S 0.444 0.750 0.120
# M_tot: 2.78 μB per cell
# total energy: -5.661 eV/atom

=====

# LiCrNiSe3, relaxed, DFT PBE
data_LiCrNiSe3
_chemical_formula_sum 'Li2 Cr2 Ni2 Se6'
_space_group_name_H-M_alt 'P 1 21/m 1'
_space_group_IT_number 11
_space_group_name_Hall '-P 2yb'
_cell_length_a 7.259
_cell_length_b 3.594
_cell_length_c 8.744
_cell_angle_alpha 90.00
_cell_angle_beta 105.87
_cell_angle_gamma 90.00
loop_
_atom_site_label
_atom_site_type_symbol
_atom_site_fract_x
_atom_site_fract_y
_atom_site_fract_z
Li1 Li 0.213 0.250 0.265
Cr1 Cr 0.314 0.750 0.829
Ni1 Ni 0.086 0.250 0.598
Se1 Se 0.088 0.250 0.863
Se2 Se 0.262 0.750 0.535
Se3 Se 0.431 0.750 0.137
# M_tot: 3.13 μB per cell
# total energy: -5.213 eV/atom

=====

# Li3Sm2CrNi12, relaxed, DFT PBE
data_Li3Sm2CrNi12
_chemical_formula_sum 'Li9 Sm6 Cr3 Ni36'
_space_group_name_H-M_alt 'R -3 m'
_space_group_IT_number 166
_space_group_name_Hall '-R 3 2"'
_cell_length_a 5.8063
_cell_length_b 5.8063
_cell_length_c 26.3588
_cell_angle_alpha 90.00
_cell_angle_beta 90.00
_cell_angle_gamma 120.00
loop_
_atom_site_label
_atom_site_type_symbol
_atom_site_fract_x
_atom_site_fract_y
_atom_site_fract_z
Li1 Li 0.0000 0.5000 0.0000
Sm1 Sm 0.0000 0.0000 0.1447
Cr1 Cr 0.0000 0.0000 0.5000
Ni1 Ni 0.0365 0.5182 0.0997
Ni2 Ni 0.0670 0.5335 0.6186
# M_tot: 6.77 μB per cell
# total energy: -5.040 eV/atom

=====

# Li2CrNiSn, relaxed, DFT PBE
data_Li2CrNiSn
_chemical_formula_sum 'Li2 Cr1 Ni1 Sn1'
_space_group_name_H-M_alt 'P 4/m m m'
_space_group_IT_number 123
_space_group_name_Hall '-P 4 2'
_cell_length_a 4.894
_cell_length_b 4.894
_cell_length_c 4.716
_cell_angle_alpha 90.00
_cell_angle_beta 90.00
_cell_angle_gamma 90.00
loop_
_atom_site_label
_atom_site_type_symbol
_atom_site_fract_x
_atom_site_fract_y
_atom_site_fract_z
Li1 Li 0.000 0.500 0.000
Cr1 Cr 0.000 0.000 0.500
Ni1 Ni 0.500 0.500 0.500
Sn1 Sn 0.500 0.500 0.000
# M_tot: 4.31 μB per cell
# excess energy over the best structure of this formula in the dataset: 0.200 eV per atom
# total energy: -3.946 eV/atom

=====

# Li2CrNiSn, relaxed, DFT PBE
data_Li2CrNiSn
_chemical_formula_sum 'Li2 Cr1 Ni1 Sn1'
_space_group_name_H-M_alt 'P 4/m m m'
_space_group_IT_number 123
_space_group_name_Hall '-P 4 2'
_cell_length_a 4.265
_cell_length_b 4.265
_cell_length_c 4.432
_cell_angle_alpha 90.00
_cell_angle_beta 90.00
_cell_angle_gamma 90.00
loop_
_atom_site_label
_atom_site_type_symbol
_atom_site_fract_x
_atom_site_fract_y
_atom_site_fract_z
Li1 Li 0.000 0.500 0.000
Cr1 Cr 0.000 0.000 0.500
Ni1 Ni 0.000 0.000 0.000
Sn1 Sn 0.500 0.500 0.500
# M_tot: 0.00 μB per cell
# excess energy over the best structure of this formula in the dataset: 0.000 eV per atom
# total energy: -4.146 eV/atom

=====

# LiCrTcNi, relaxed, DFT PBE
data_LiCrTcNi
_chemical_formula_sum 'Li4 Cr4 Tc4 Ni4'
_space_group_name_H-M_alt 'F -4 3 m'
_space_group_IT_number 216
_space_group_name_Hall 'F -4 2 3'
_cell_length_a 5.760
_cell_length_b 5.760
_cell_length_c 5.760
_cell_angle_alpha 90.00
_cell_angle_beta 90.00
_cell_angle_gamma 90.00
loop_
_atom_site_label
_atom_site_type_symbol
_atom_site_fract_x
_atom_site_fract_y
_atom_site_fract_z
Li1 Li 0.000 0.000 0.000
Cr1 Cr 0.000 0.000 0.500
Tc1 Tc 0.250 0.250 0.250
Ni1 Ni 0.250 0.250 0.750
# M_tot: 0.00 μB per cell
# total energy: -6.757 eV/atom

=====

# LiCrNi2Te, relaxed, DFT PBE
data_LiCrNi2Te
_chemical_formula_sum 'Li1 Cr1 Ni2 Te1'
_space_group_name_H-M_alt 'P 4/m m m'
_space_group_IT_number 123
_space_group_name_Hall '-P 4 2'
_cell_length_a 4.136
_cell_length_b 4.136
_cell_length_c 4.360
_cell_angle_alpha 90.00
_cell_angle_beta 90.00
_cell_angle_gamma 90.00
loop_
_atom_site_label
_atom_site_type_symbol
_atom_site_fract_x
_atom_site_fract_y
_atom_site_fract_z
Li1 Li 0.000 0.000 0.000
Cr1 Cr 0.000 0.000 0.500
Ni1 Ni 0.000 0.500 0.000
Te1 Te 0.500 0.500 0.500
# M_tot: 4.09 μB per cell
# total energy: -4.564 eV/atom

=====

# LiCrNiW2, relaxed, DFT PBE
data_LiCrNiW2
_chemical_formula_sum 'Li1 Cr1 Ni1 W2'
_space_group_name_H-M_alt 'P 4/m m m'
_space_group_IT_number 123
_space_group_name_Hall '-P 4 2'
_cell_length_a 4.531
_cell_length_b 4.531
_cell_length_c 3.721
_cell_angle_alpha 90.00
_cell_angle_beta 90.00
_cell_angle_gamma 90.00
loop_
_atom_site_label
_atom_site_type_symbol
_atom_site_fract_x
_atom_site_fract_y
_atom_site_fract_z
Li1 Li 0.000 0.000 0.000
Cr1 Cr 0.500 0.500 0.000
Ni1 Ni 0.000 0.000 0.500
W1 W 0.000 0.500 0.500
# M_tot: 0.00 μB per cell
# total energy: -7.270 eV/atom